[1]
Ca3Ac6Pr | Alexandria via LeMat-Bulk | PBE | optimized geometry; calculated formation energy = 0.60 eV per atom; D(E_F) = 19.229 states/eV/cell; spin magnetization = 0.00 μB per atom
1.0
10.8512 6.2649 1.3783
-10.8512 6.2649 1.3783
0.0000 -12.5299 1.3783
Ca Ac Pr
3 6 1
Direct
0.1459 0.9270 0.9270 Ca
0.9270 0.1459 0.9270 Ca
0.9270 0.9270 0.1459 Ca
0.2774 0.2774 0.7419 Ac
0.2774 0.7419 0.2774 Ac
0.3594 0.6425 0.6425 Ac
0.6425 0.3594 0.6425 Ac
0.6425 0.6425 0.3594 Ac
0.7419 0.2774 0.2774 Ac
0.4945 0.4945 0.4945 Pr

---

[2]
Mg4AlHg2 | Alexandria via LeMat-Bulk | PBE | optimized geometry; calculated formation energy = -0.10 eV per atom; D(E_F) = 2.374 states/eV/cell; spin magnetization = 0.00 μB per atom
1.0
2.3987 1.3849 7.7904
-2.3987 1.3849 7.7904
0.0000 -2.7698 7.7904
Mg Al Hg
4 1 2
Direct
0.1209 0.1209 0.1209 Mg
0.3722 0.3722 0.3722 Mg
0.6278 0.6278 0.6278 Mg
0.8791 0.8791 0.8791 Mg
0.5000 0.5000 0.5000 Al
0.2503 0.2503 0.2503 Hg
0.7497 0.7497 0.7497 Hg